Record 1
# ScTcAg2 (GGA-PBE, optimized geometry)
# Magnetization in μB/cell: 0.4
# Raw total energy in Ha/atom: -0.19825
data_ScTcAg2
_chemical_formula_sum 'Sc2 Tc2 Ag4'
_cell_length_a 4.0614
_cell_length_b 4.1318
_cell_length_c 8.3604
_cell_angle_alpha 90.00
_cell_angle_beta 90.00
_cell_angle_gamma 90.00
_symmetry_space_group_name_H-M 'I m m 2'
_symmetry_Int_Tables_number 44
_symmetry_space_group_name_Hall 'I 2 -2'
loop_
_atom_site_label
_atom_site_type_symbol
_atom_site_fract_x
_atom_site_fract_y
_atom_site_fract_z
Sc1 Sc 0.0000 0.0000 0.0000
Tc1 Tc 0.0000 0.5000 0.7485
Ag1 Ag 0.0000 0.0000 0.4987
Ag2 Ag 0.0000 0.5000 0.2492

Record 2
# Cr2ReOs (GGA-PBE, optimized geometry)
# Magnetization in μB/cell: 0.0
# Raw total energy in Ha/atom: -0.38918
data_Cr2ReOs
_chemical_formula_sum 'Cr2 Re1 Os1'
_cell_length_a 2.6918
_cell_length_b 3.6776
_cell_length_c 5.3989
_cell_angle_alpha 90.00
_cell_angle_beta 90.00
_cell_angle_gamma 90.00
_symmetry_space_group_name_H-M 'P m m m'
_symmetry_Int_Tables_number 47
_symmetry_space_group_name_Hall '-P 2 2'
loop_
_atom_site_label
_atom_site_type_symbol
_atom_site_fract_x
_atom_site_fract_y
_atom_site_fract_z
Cr1 Cr 0.0000 0.0000 0.2464
Re1 Re 0.5000 0.5000 0.5000
Os1 Os 0.5000 0.5000 0.0000

Record 3
# NaWIN2 (GGA-PBE, optimized geometry)
# Magnetization in μB/cell: 0.0
# Raw total energy in Ha/atom: -0.13172
# Formation energy from raw total energies in kcal/mol of atoms: 67.116
data_NaWIN2
_chemical_formula_sum 'Na1 W1 I1 N2'
_cell_length_a 4.1205
_cell_length_b 4.1205
_cell_length_c 5.1342
_cell_angle_alpha 90.00
_cell_angle_beta 90.00
_cell_angle_gamma 90.00
_symmetry_space_group_name_H-M 'P 4/m m m'
_symmetry_Int_Tables_number 123
_symmetry_space_group_name_Hall '-P 4 2'
loop_
_atom_site_label
_atom_site_type_symbol
_atom_site_fract_x
_atom_site_fract_y
_atom_site_fract_z
Na1 Na 0.0000 0.0000 0.0000
W1 W 0.5000 0.5000 0.5000
I1 I 0.0000 0.0000 0.5000
N1 N 0.0000 0.5000 0.0000

Record 4
# V3NiRh (GGA-PBE, optimized geometry)
# Magnetization in μB/cell: 0.0
# Raw total energy in Ha/atom: -0.26672
data_V3NiRh
_chemical_formula_sum 'V3 Ni1 Rh1'
_cell_length_a 4.2804
_cell_length_b 4.2804
_cell_length_c 4.2804
_cell_angle_alpha 90.00
_cell_angle_beta 90.00
_cell_angle_gamma 90.00
_symmetry_space_group_name_H-M 'P m -3 m'
_symmetry_Int_Tables_number 221
_symmetry_space_group_name_Hall '-P 4 2 3'
loop_
_atom_site_label
_atom_site_type_symbol
_atom_site_fract_x
_atom_site_fract_y
_atom_site_fract_z
V1 V 0.0000 0.0000 0.5000
Ni1 Ni 0.0000 0.0000 0.0000
Rh1 Rh 0.5000 0.5000 0.5000

Record 5
# MnNbPd2 (GGA-PBE, optimized geometry)
# Magnetization in μB/cell: 1.8
# Raw total energy in Ha/atom: -0.28133
data_MnNbPd2
_chemical_formula_sum 'Mn1 Nb1 Pd2'
_cell_length_a 3.8894
_cell_length_b 3.8894
_cell_length_c 4.0207
_cell_angle_alpha 90.00
_cell_angle_beta 90.00
_cell_angle_gamma 90.00
_symmetry_space_group_name_H-M 'P 4/m m m'
_symmetry_Int_Tables_number 123
_symmetry_space_group_name_Hall '-P 4 2'
loop_
_atom_site_label
_atom_site_type_symbol
_atom_site_fract_x
_atom_site_fract_y
_atom_site_fract_z
Mn1 Mn 0.0000 0.0000 0.0000
Nb1 Nb 0.5000 0.5000 0.0000
Pd1 Pd 0.0000 0.5000 0.5000

Record 6
# ZrIn2W (GGA-PBE, optimized geometry)
# Magnetization in μB/cell: 0.0
# Raw total energy in Ha/atom: -0.24007
data_ZrIn2W
_chemical_formula_sum 'Zr1 In2 W1'
_cell_length_a 2.9698
_cell_length_b 4.7139
_cell_length_c 5.9442
_cell_angle_alpha 90.00
_cell_angle_beta 103.35
_cell_angle_gamma 90.00
_symmetry_space_group_name_H-M 'P 1 2/m 1'
_symmetry_Int_Tables_number 10
_symmetry_space_group_name_Hall '-P 2y'
loop_
_atom_site_label
_atom_site_type_symbol
_atom_site_fract_x
_atom_site_fract_y
_atom_site_fract_z
Zr1 Zr 0.0000 0.0000 0.0000
In1 In 0.4330 0.5000 0.7410
W1 W 0.0000 0.0000 0.5000

Record 7
# Ac2MnSnS6 (GGA-PBE, optimized geometry)
# Magnetization in μB/cell: 9.9
# Raw total energy in Ha/atom: -0.21853
# Formation energy from raw total energies in kcal/mol of atoms: -30.695
data_Ac2MnSnS6
_chemical_formula_sum 'Ac4 Mn2 Sn2 S12'
_cell_length_a 6.6889
_cell_length_b 7.3555
_cell_length_c 11.7638
_cell_angle_alpha 90.00
_cell_angle_beta 124.40
_cell_angle_gamma 90.00
_symmetry_space_group_name_H-M 'P 1 21/c 1'
_symmetry_Int_Tables_number 14
_symmetry_space_group_name_Hall '-P 2ybc'
loop_
_atom_site_label
_atom_site_type_symbol
_atom_site_fract_x
_atom_site_fract_y
_atom_site_fract_z
Ac1 Ac 0.2171 0.0969 0.2505
Mn1 Mn 0.0000 0.0000 0.5000
Sn1 Sn 0.5000 0.0000 0.0000
S1 S 0.1326 0.1877 0.9497
S2 S 0.2615 0.6863 0.9521
S3 S 0.3470 0.0147 0.7450

Record 8
# ThOsBr (GGA-PBE, optimized geometry)
# Magnetization in μB/cell: 0.0
# Raw total energy in Ha/atom: -0.28198
# Formation energy from raw total energies in kcal/mol of atoms: -20.730
data_ThOsBr
_chemical_formula_sum 'Th4 Os4 Br4'
_cell_length_a 7.4557
_cell_length_b 4.3036
_cell_length_c 11.6111
_cell_angle_alpha 90.00
_cell_angle_beta 102.54
_cell_angle_gamma 90.00
_symmetry_space_group_name_H-M 'C 1 2/m 1'
_symmetry_Int_Tables_number 12
_symmetry_space_group_name_Hall '-C 2y'
loop_
_atom_site_label
_atom_site_type_symbol
_atom_site_fract_x
_atom_site_fract_y
_atom_site_fract_z
Th1 Th 0.0570 0.0000 0.1682
Os1 Os 0.1598 0.5000 0.9798
Br1 Br 0.2170 0.0000 0.6572

Record 9
# Y4ZnAg3 (GGA-PBE, optimized geometry)
# Magnetization in μB/cell: 0.0
# Raw total energy in Ha/atom: -0.17645
data_Y4ZnAg3
_chemical_formula_sum 'Y4 Zn1 Ag3'
_cell_length_a 3.6194
_cell_length_b 3.6194
_cell_length_c 14.5720
_cell_angle_alpha 90.00
_cell_angle_beta 90.00
_cell_angle_gamma 90.00
_symmetry_space_group_name_H-M 'P 4/m m m'
_symmetry_Int_Tables_number 123
_symmetry_space_group_name_Hall '-P 4 2'
loop_
_atom_site_label
_atom_site_type_symbol
_atom_site_fract_x
_atom_site_fract_y
_atom_site_fract_z
Y1 Y 0.0000 0.0000 0.1197
Y2 Y 0.0000 0.0000 0.3730
Zn1 Zn 0.5000 0.5000 0.0000
Ag1 Ag 0.5000 0.5000 0.2460
Ag2 Ag 0.5000 0.5000 0.5000

Record 10
# ThNi2Sb (GGA-PBE, optimized geometry)
# Magnetization in μB/cell: 0.0
# Raw total energy in Ha/atom: -0.23256
# Formation energy from raw total energies in kcal/mol of atoms: -12.733
data_ThNi2Sb
_chemical_formula_sum 'Th3 Ni6 Sb3'
_cell_length_a 4.2960
_cell_length_b 4.2960
_cell_length_c 14.3439
_cell_angle_alpha 90.00
_cell_angle_beta 90.00
_cell_angle_gamma 120.00
_symmetry_space_group_name_H-M 'R -3 m'
_symmetry_Int_Tables_number 166
_symmetry_space_group_name_Hall '-R 3 2"'
loop_
_atom_site_label
_atom_site_type_symbol
_atom_site_fract_x
_atom_site_fract_y
_atom_site_fract_z
Th1 Th 0.0000 0.0000 0.0000
Ni1 Ni 0.0000 0.0000 0.2123
Sb1 Sb 0.0000 0.0000 0.5000

Record 11
# LaGa9Rh2 (GGA-PBE, optimized geometry)
# Magnetization in μB/cell: 0.0
# Raw total energy in Ha/atom: -0.15924
data_LaGa9Rh2
_chemical_formula_sum 'La1 Ga9 Rh2'
_cell_length_a 8.2095
_cell_length_b 8.2095
_cell_length_c 3.8327
_cell_angle_alpha 90.00
_cell_angle_beta 90.00
_cell_angle_gamma 120.00
_symmetry_space_group_name_H-M 'P 6/m m m'
_symmetry_Int_Tables_number 191
_symmetry_space_group_name_Hall '-P 6 2'
loop_
_atom_site_label
_atom_site_type_symbol
_atom_site_fract_x
_atom_site_fract_y
_atom_site_fract_z
La1 La 0.0000 0.0000 0.0000
Ga1 Ga 0.0000 0.5000 0.0000
Ga2 Ga 0.2000 0.4001 0.5000
Rh1 Rh 0.3333 0.6667 0.0000

Record 12
# ZnCuPbO4 (GGA-PBE, optimized geometry)
# Magnetization in μB/cell: 3.9
# Raw total energy in Ha/atom: -0.18371
# Formation energy from raw total energies in kcal/mol of atoms: -20.033
data_ZnCuPbO4
_chemical_formula_sum 'Zn4 Cu4 Pb4 O16'
_cell_length_a 5.9436
_cell_length_b 6.3844
_cell_length_c 9.4892
_cell_angle_alpha 90.00
_cell_angle_beta 90.00
_cell_angle_gamma 90.00
_symmetry_space_group_name_H-M 'I m m a'
_symmetry_Int_Tables_number 74
_symmetry_space_group_name_Hall '-I 2b 2'
loop_
_atom_site_label
_atom_site_type_symbol
_atom_site_fract_x
_atom_site_fract_y
_atom_site_fract_z
Zn1 Zn 0.0000 0.2500 0.1569
Cu1 Cu 0.2500 0.2500 0.7500
Pb1 Pb 0.0000 0.0000 0.5000
O1 O 0.0000 0.0348 0.7359
O2 O 0.2502 0.2500 0.0168

Record 13
# SeN2Cl (GGA-PBE, optimized geometry)
# Magnetization in μB/cell: 4.0
# Raw total energy in Ha/atom: -0.14062
# Formation energy from raw total energies in kcal/mol of atoms: 38.488
data_SeN2Cl
_chemical_formula_sum 'Se4 N8 Cl4'
_cell_length_a 5.8078
_cell_length_b 5.8078
_cell_length_c 7.3212
_cell_angle_alpha 90.00
_cell_angle_beta 90.00
_cell_angle_gamma 90.00
_symmetry_space_group_name_H-M 'I -4 2 d'
_symmetry_Int_Tables_number 122
_symmetry_space_group_name_Hall 'I -4 2bw'
loop_
_atom_site_label
_atom_site_type_symbol
_atom_site_fract_x
_atom_site_fract_y
_atom_site_fract_z
Se1 Se 0.0000 0.0000 0.0000
N1 N 0.1388 0.2500 0.1250
Cl1 Cl 0.0000 0.0000 0.5000

Record 14
# DyTlAuSe2 (GGA-PBE, optimized geometry)
# Magnetization in μB/cell: 0.0
# Raw total energy in Ha/atom: -0.15618
# Formation energy from raw total energies in kcal/mol of atoms: -18.610
data_DyTlAuSe2
_chemical_formula_sum 'Dy2 Tl2 Au2 Se4'
_cell_length_a 7.6263
_cell_length_b 5.1573
_cell_length_c 7.7133
_cell_angle_alpha 90.00
_cell_angle_beta 102.26
_cell_angle_gamma 90.00
_symmetry_space_group_name_H-M 'P 1 2/c 1'
_symmetry_Int_Tables_number 13
_symmetry_space_group_name_Hall '-P 2yc'
loop_
_atom_site_label
_atom_site_type_symbol
_atom_site_fract_x
_atom_site_fract_y
_atom_site_fract_z
Dy1 Dy 0.0000 0.0047 0.2500
Tl1 Tl 0.5000 0.3240 0.7500
Au1 Au 0.0000 0.5000 0.0000
Se1 Se 0.2541 0.1592 0.0512

Record 15
# Sr3TbPr3Te8 (GGA-PBE, optimized geometry)
# Magnetization in μB/cell: 0.0
# Raw total energy in Ha/atom: -0.17757
# Formation energy from raw total energies in kcal/mol of atoms: -35.869
data_Sr3TbPr3Te8
_chemical_formula_sum 'Sr9 Tb3 Pr9 Te24'
_cell_length_a 9.0944
_cell_length_b 9.0944
_cell_length_c 23.1415
_cell_angle_alpha 90.00
_cell_angle_beta 90.00
_cell_angle_gamma 120.00
_symmetry_space_group_name_H-M 'R -3 m'
_symmetry_Int_Tables_number 166
_symmetry_space_group_name_Hall '-R 3 2"'
loop_
_atom_site_label
_atom_site_type_symbol
_atom_site_fract_x
_atom_site_fract_y
_atom_site_fract_z
Sr1 Sr 0.0000 0.5000 0.0000
Tb1 Tb 0.0000 0.0000 0.5000
Pr1 Pr 0.0000 0.5000 0.5000
Te1 Te 0.0000 0.0000 0.2476
Te2 Te 0.0055 0.5028 0.2452

Record 16
# Pm5Ag4Ir (GGA-PBE, optimized geometry)
# Magnetization in μB/cell: 0.0
# Raw total energy in Ha/atom: -0.17461
data_Pm5Ag4Ir
_chemical_formula_sum 'Pm5 Ag4 Ir1'
_cell_length_a 3.6512
_cell_length_b 3.6512
_cell_length_c 18.8303
_cell_angle_alpha 90.00
_cell_angle_beta 90.00
_cell_angle_gamma 90.00
_symmetry_space_group_name_H-M 'P 4/m m m'
_symmetry_Int_Tables_number 123
_symmetry_space_group_name_Hall '-P 4 2'
loop_
_atom_site_label
_atom_site_type_symbol
_atom_site_fract_x
_atom_site_fract_y
_atom_site_fract_z
Pm1 Pm 0.0000 0.0000 0.0000
Pm2 Pm 0.0000 0.0000 0.2050
Pm3 Pm 0.0000 0.0000 0.4123
Ag1 Ag 0.5000 0.5000 0.1023
Ag2 Ag 0.5000 0.5000 0.3047
Ir1 Ir 0.5000 0.5000 0.5000

Record 17
# TcP2Os (GGA-PBE, optimized geometry)
# Magnetization in μB/cell: 0.0
# Raw total energy in Ha/atom: -0.28690
data_TcP2Os
_chemical_formula_sum 'Tc1 P2 Os1'
_cell_length_a 2.8744
_cell_length_b 3.8273
_cell_length_c 5.1954
_cell_angle_alpha 90.00
_cell_angle_beta 90.00
_cell_angle_gamma 90.00
_symmetry_space_group_name_H-M 'P m m m'
_symmetry_Int_Tables_number 47
_symmetry_space_group_name_Hall '-P 2 2'
loop_
_atom_site_label
_atom_site_type_symbol
_atom_site_fract_x
_atom_site_fract_y
_atom_site_fract_z
Tc1 Tc 0.0000 0.0000 0.0000
P1 P 0.0000 0.5000 0.5000
P2 P 0.5000 0.5000 0.0000
Os1 Os 0.5000 0.0000 0.5000

Record 18
# Tb5Nd2Sm (GGA-PBE, optimized geometry)
# Magnetization in μB/cell: 0.0
# Raw total energy in Ha/atom: -0.16583
data_Tb5Nd2Sm
_chemical_formula_sum 'Tb20 Nd8 Sm4'
_cell_length_a 16.4217
_cell_length_b 9.9746
_cell_length_c 6.5582
_cell_angle_alpha 90.00
_cell_angle_beta 98.57
_cell_angle_gamma 90.00
_symmetry_space_group_name_H-M 'C 1 2/c 1'
_symmetry_Int_Tables_number 15
_symmetry_space_group_name_Hall '-C 2yc'
loop_
_atom_site_label
_atom_site_type_symbol
_atom_site_fract_x
_atom_site_fract_y
_atom_site_fract_z
Tb1 Tb 0.0000 0.0586 0.2500
Tb2 Tb 0.0989 0.4114 0.1448
Tb3 Tb 0.1982 0.0891 0.0244
Nd1 Nd 0.0785 0.2533 0.6169
Sm1 Sm 0.2500 0.2500 0.5000

Record 19
# Ag4Cl (GGA-PBE, optimized geometry)
# Magnetization in μB/cell: 0.0
# Raw total energy in Ha/atom: -0.07765
# Formation energy from raw total energies in kcal/mol of atoms: 12.394
data_Ag4Cl
_chemical_formula_sum 'Ag8 Cl2'
_cell_length_a 6.1842
_cell_length_b 6.1842
_cell_length_c 6.1842
_cell_angle_alpha 90.00
_cell_angle_beta 90.00
_cell_angle_gamma 90.00
_symmetry_space_group_name_H-M 'I m -3 m'
_symmetry_Int_Tables_number 229
_symmetry_space_group_name_Hall '-I 4 2 3'
loop_
_atom_site_label
_atom_site_type_symbol
_atom_site_fract_x
_atom_site_fract_y
_atom_site_fract_z
Ag1 Ag 0.2500 0.2500 0.2500
Cl1 Cl 0.0000 0.0000 0.0000

Record 20
# SmAlGaAg (GGA-PBE, optimized geometry)
# Magnetization in μB/cell: 0.0
# Raw total energy in Ha/atom: -0.14357
data_SmAlGaAg
_chemical_formula_sum 'Sm4 Al4 Ga4 Ag4'
_cell_length_a 6.9163
_cell_length_b 6.9163
_cell_length_c 6.9163
_cell_angle_alpha 90.00
_cell_angle_beta 90.00
_cell_angle_gamma 90.00
_symmetry_space_group_name_H-M 'F -4 3 m'
_symmetry_Int_Tables_number 216
_symmetry_space_group_name_Hall 'F -4 2 3'
loop_
_atom_site_label
_atom_site_type_symbol
_atom_site_fract_x
_atom_site_fract_y
_atom_site_fract_z
Sm1 Sm 0.0000 0.0000 0.0000
Al1 Al 0.0000 0.0000 0.5000
Ga1 Ga 0.2500 0.2500 0.2500
Ag1 Ag 0.2500 0.2500 0.7500